(1)
A relaxed structure of NaSrZn2Bi2. Source: Alexandria, functional PBE.

abc: 4.756 4.756 8.993
angles: 90.00 90.00 120.00
Positions (direct):
1 Zn 0.667 0.333 0.294
2 Bi 0.667 0.333 0.769
3 Na 0.000 0.000 0.000
4 Zn 0.333 0.667 0.706
5 Sr 0.000 0.000 0.500
6 Bi 0.333 0.667 0.231

Results
Calculated formation energy   -31.4 kJ/mol of atoms
Space group   No. 164
N(E_F)   2.702 states/eV/cell

=====

(2)
A relaxed structure of TmCd8Ag2. Source: Alexandria, functional PBE.

abc: 5.266 8.002 7.683
angles: 58.62 78.51 67.52
Positions (direct):
1 Ag 0.000 0.691 0.617
2 Tm 0.500 0.000 0.000
3 Cd 0.301 0.410 0.000
4 Cd 0.699 0.590 0.000
5 Cd 0.864 0.087 0.232
6 Cd 0.864 0.319 0.768
7 Cd 0.500 0.766 0.469
8 Cd 0.500 0.234 0.531
9 Ag 0.000 0.309 0.383
10 Cd 0.136 0.681 0.232
11 Cd 0.136 0.913 0.768

Results
Calculated formation energy   0.9 kJ/mol of atoms
Distance to the lowest polymorph of the same formula   0.050 eV/atom
Space group   No. 12
N(E_F)   4.313 states/eV/cell

=====

(3)
A relaxed structure of Li5Te3. Source: Alexandria, functional PBE.

abc: 6.461 6.461 4.477
angles: 90.00 90.00 110.35
Positions (direct):
1 Te 0.831 0.169 0.500
2 Li 0.000 0.500 0.000
3 Li 0.000 0.000 0.000
4 Li 0.500 0.000 0.000
5 Li 0.296 0.296 0.500
6 Te 0.500 0.500 0.000
7 Li 0.704 0.704 0.500
8 Te 0.169 0.831 0.500

Results
Space group   No. 65
Formation energy from raw total energies   -846 meV per atom
N(E_F)   3.456 states/eV/cell

=====

(4)
A relaxed structure of Th5Sb4Os. Source: Alexandria, functional PBE.

abc: 6.352 7.692 7.692
angles: 80.19 65.62 65.62
Positions (direct):
1 Os 0.001 0.000 0.000
2 Sb 0.810 0.777 0.604
3 Sb 0.587 0.604 0.223
4 Sb 0.415 0.396 0.777
5 Th 0.501 0.000 0.000
6 Th 0.096 0.638 0.172
7 Th 0.268 0.828 0.638
8 Sb 0.192 0.223 0.396
9 Th 0.906 0.362 0.828
10 Th 0.734 0.172 0.362

Results
Space group   No. 87
Formation energy from raw total energies   -780 meV per atom
N(E_F)   10.351 states/eV/cell

=====

(5)
A relaxed structure of Ca5Ga2Hg2. Source: Alexandria, functional PBE.

abc: 7.972 8.077 9.093
angles: 90.00 64.00 90.00
Positions (direct):
1 Ca 0.500 0.500 0.000
2 Ga 0.111 0.386 0.000
3 Ca 0.689 0.325 0.268
4 Ga 0.389 0.886 0.000
5 Ca 0.311 0.675 0.732
6 Ca 0.000 0.000 0.000
7 Ca 0.543 0.825 0.268
8 Hg 0.208 0.000 0.585
9 Ca 0.189 0.175 0.268
10 Ca 0.043 0.675 0.268
11 Hg 0.792 0.000 0.415
12 Ga 0.889 0.614 0.000
13 Hg 0.292 0.500 0.415
14 Ca 0.457 0.175 0.732
15 Ca 0.811 0.825 0.732
16 Hg 0.708 0.500 0.585
17 Ca 0.957 0.325 0.732
18 Ga 0.611 0.114 0.000

Results
Calculated formation energy   -41.3 kJ/mol of atoms
Space group   No. 64
N(E_F)   17.094 states/eV/cell

=====

(6)
A relaxed structure of Tc2TeMo. Source: Alexandria, functional PBE.

abc: 5.278 5.278 4.571
angles: 65.50 65.50 34.63
Positions (direct):
1 Te 0.750 0.750 0.750
2 Tc 0.485 0.485 0.509
3 Mo 0.250 0.250 0.250
4 Tc 0.015 0.015 0.991

Results
Space group   No. 12
Formation energy from raw total energies   360 meV per atom
N(E_F)   4.224 states/eV/cell

=====

Number 1: total energy -2.544 eV per atom. Number 2: total energy -1.581 eV per atom. Number 3: total energy -3.220 eV per atom. Number 4: total energy -7.261 eV per atom. Number 5: total energy -2.280 eV per atom. Number 6: total energy -8.316 eV per atom.